1.
Crystalline TiCrAgS4 at its relaxed geometry. Source: Alexandria via LeMat-Bulk, functional GGA-PBE.

Calculated values
Energy relative to the lowest polymorph listed for this composition (meV/atom): 86

Unit cell a=3.4774 b=12.9427 c=11.1348 alpha=90.00 beta=90.00 gamma=90.00
Last column: nearest neighbours and their distance in Å.
Space group Pmc2_1 (No. 26)
Inequivalent atoms, fractional coordinates:
Ti: 0.0000 0.1172 0.0000 x2  6 S 2.41-2.47
Ti: 0.0000 0.3645 0.5411 x2  6 S 2.41-2.50
Cr: 0.5000 0.1740 0.3638 x2  6 S 2.36-2.51
Cr: 0.5000 0.3411 0.8959 x2  6 S 2.36-2.45
Ag: 0.0000 0.0692 0.6792 x2  7 S 2.80-3.05, 1 Ti 3.13
Ag: 0.5000 0.4344 0.2057 x2  5 S 2.64-2.94
S: 0.0000 0.0576 0.4244 x2  2 Cr 2.40, 1 Ti 2.41
S: 0.0000 0.2985 0.3298 x2  2 Cr 2.40, 1 Ti 2.50
S: 0.0000 0.3015 0.0321 x2  2 Cr 2.36, 1 Ti 2.41
S: 0.0000 0.3879 0.7562 x2  2 Cr 2.41, 1 Ti 2.41
S: 0.5000 0.0994 0.1554 x2  2 Ti 2.46, 1 Cr 2.51
S: 0.5000 0.1616 0.8509 x2  1 Cr 2.38, 2 Ti 2.47
S: 0.5000 0.2351 0.5635 x2  1 Cr 2.36, 2 Ti 2.43
S: 0.5000 0.4863 0.4870 x2  2 Ti 2.42, 1 Cr 2.45, 1 Ag 2.64



2.
Crystalline LaSb2W at its relaxed geometry. Source: Alexandria via LeMat-Bulk, functional GGA-PBE.

Calculated values
Energy relative to the lowest polymorph listed for this composition (meV/atom): 392

Unit cell a=5.1407 b=5.1407 c=3.6368 alpha=90.00 beta=90.00 gamma=90.00
Last column: nearest neighbours and their distance in Å.
Space group P4/mmm (No. 123)
Inequivalent atoms, fractional coordinates:
La: 0.0000 0.0000 0.0000 x1  8 Sb 3.15
Sb: 0.0000 0.5000 0.5000 x2  4 La 3.15, 4 W 3.15
W: 0.5000 0.5000 0.0000 x1  8 Sb 3.15



3.
Crystalline Pm5AgHg4 at its relaxed geometry. Source: Alexandria via LeMat-Bulk, functional GGA-PBE.

Calculated values
ΔH_f (0 K) (kJ per mole of atoms): -42

Unit cell a=3.8043 b=3.8043 c=18.8700 alpha=90.00 beta=90.00 gamma=90.00
Last column: nearest neighbours and their distance in Å.
Space group P4/mmm (No. 123)
Inequivalent atoms, fractional coordinates:
Pm: 0.0000 0.0000 0.0000 x1  8 Hg 3.30
Pm: 0.0000 0.0000 0.2018 x2  8 Hg 3.29
Pm: 0.0000 0.0000 0.4028 x2  4 Ag 3.26, 4 Hg 3.29
Ag: 0.5000 0.5000 0.5000 x1  8 Pm 3.26
Hg: 0.5000 0.5000 0.1015 x2  8 Pm 3.29-3.30
Hg: 0.5000 0.5000 0.3025 x2  8 Pm 3.29



4.
Crystalline TbLuN at its relaxed geometry. Source: Alexandria via LeMat-Bulk, functional GGA-PBE.

Calculated values
Energy relative to the lowest polymorph listed for this composition (meV/atom): 0

Unit cell a=3.4510 b=3.4510 c=5.9164 alpha=90.00 beta=90.00 gamma=120.00
Last column: nearest neighbours and their distance in Å.
Space group P3m1 (No. 156)
Inequivalent atoms, fractional coordinates:
Tb: 0.0000 0.0000 0.0000 x1  3 N 2.46
Lu: 0.3333 0.6667 0.4498 x1  3 N 2.34
N: 0.6667 0.3333 0.2436 x1  3 Lu 2.34, 3 Tb 2.46



5.
Crystalline GaFe2Ni5 at its relaxed geometry. Source: Alexandria via LeMat-Bulk, functional GGA-PBE.

Calculated values
ΔH_f (0 K) (kJ per mole of atoms): -15

Unit cell a=5.0582 b=7.0449 c=10.2559 alpha=90.00 beta=90.00 gamma=90.00
Last column: nearest neighbours and their distance in Å.
Space group Fmmm (No. 69)
Inequivalent atoms, fractional coordinates:
Ga: 0.0000 0.0000 0.0000 x4  10 Ni 2.53, 2 Fe 2.61
Fe: 0.0000 0.0000 0.2550 x8  9 Ni 2.49-2.54, 2 Fe 2.53, 1 Ga 2.61
Ni: 0.0000 0.0000 0.5000 x4  2 Fe 2.51, 8 Ni 2.53, 2 Ga 2.53
Ni: 0.2500 0.2500 0.1265 x16  4 Fe 2.49-2.54, 6 Ni 2.53-2.60, 2 Ga 2.53



6.
Crystalline La2Al6Zn3 at its relaxed geometry. Source: Alexandria via LeMat-Bulk, functional GGA-PBE.

Calculated values
ΔH_f (0 K) (kJ per mole of atoms): -36

Unit cell a=7.7971 b=7.7971 c=4.2633 alpha=90.00 beta=90.00 gamma=120.00
Last column: nearest neighbours and their distance in Å.
Space group P-62m (No. 189)
Inequivalent atoms, fractional coordinates:
La: 0.3333 0.6667 0.0000 x2  6 Zn 3.26, 9 Al 3.28-3.47
Al: 0.0000 0.3012 0.5000 x3  3 Zn 2.56-2.66
Al: 0.0000 0.8059 0.0000 x3  2 Zn 2.54, 2 Al 2.62
Zn: 0.0000 0.6295 0.5000 x3  5 Al 2.54-2.66



7.
Crystalline Pu2TaO11 at its relaxed geometry. Source: Alexandria via LeMat-Bulk, functional GGA-PBE.

Calculated values
Raw total energy (eV/cell): -245.989

Unit cell a=7.7891 b=8.0499 c=9.0626 alpha=105.93 beta=104.83 gamma=112.80
Last column: nearest neighbours and their distance in Å.
Space group P1 (No. 1)
Inequivalent atoms, fractional coordinates:
Pu: 0.0000 0.0000 0.0000 x1  2 O 1.79-1.92
Pu: 0.2232 0.6923 0.5022 x1  3 O 1.79-1.98
Pu: 0.4666 0.4349 0.9951 x1  3 O 1.79-1.98
Pu: 0.7505 0.2525 0.4968 x1  2 O 1.79-1.92
Ta: 0.2243 0.1915 0.4953 x1  5 O 1.87-2.08
Ta: 0.4759 0.9416 0.0023 x1  5 O 1.87-2.08
O: 0.1007 0.0958 0.2406 x1  1 Pu 1.92, 1 Ta 2.04
O: 0.1323 0.5940 0.2782 x1  1 Pu 1.79
O: 0.1776 0.9438 0.4898 x1  1 Ta 1.87
O: 0.1843 0.2717 0.0079 x1  2 Pu 2.07-2.13
O: 0.2117 0.9086 0.0047 x1  1 Ta 1.98, 1 Pu 2.05
O: 0.2739 0.4715 0.5097 x1  1 Pu 1.98, 1 Ta 2.09
O: 0.3350 0.8140 0.7408 x1  1 Pu 1.90, 1 Ta 2.08
O: 0.3473 0.3264 0.7567 x1  1 Pu 1.90, 1 Ta 2.08
O: 0.4354 0.7004 0.0097 x1  1 Ta 1.87
O: 0.4990 0.2846 0.5022 x1  1 Ta 1.95, 1 Pu 2.08
O: 0.5083 0.2051 0.9850 x1  1 Pu 1.98, 1 Ta 2.09
O: 0.5468 0.9654 0.5314 x1  1 O 1.31
O: 0.5588 0.8026 0.4975 x1  1 O 1.31
O: 0.5934 0.5531 0.2195 x1  1 Pu 1.79
O: 0.6111 0.1015 0.2569 x1  1 Pu 1.92, 1 Ta 2.04
O: 0.7420 0.0254 0.9916 x1  1 Ta 1.95, 1 Pu 2.08
O: 0.7669 0.6838 0.9776 x1  1 O 1.31
O: 0.8081 0.5484 0.0019 x1  1 O 1.31
O: 0.8702 0.3744 0.7222 x1  1 Pu 1.79
O: 0.8948 0.8905 0.7744 x1  1 Pu 1.79
O: 0.9252 0.5122 0.4827 x1  2 Pu 2.07-2.14
O: 0.9600 0.1588 0.4970 x1  1 Ta 1.98, 1 Pu 2.05



8.
Crystalline LiBeNi2 at its relaxed geometry. Source: Alexandria via LeMat-Bulk, functional GGA-PBE.

Calculated values
ΔH_f (0 K) (kJ per mole of atoms): -11

Unit cell a=2.5836 b=3.8422 c=8.0668 alpha=90.00 beta=90.00 gamma=90.00
Last column: nearest neighbours and their distance in Å.
Space group Imm2 (No. 44)
Inequivalent atoms, fractional coordinates:
Li: 0.0000 0.0000 0.0000 x2  6 Ni 2.32-2.49, 2 Be 2.43, 2 Li 2.58
Be: 0.0000 0.5000 0.2456 x2  6 Ni 2.21-2.32, 2 Li 2.43
Ni: 0.0000 0.0000 0.5225 x2  2 Be 2.21, 4 Li 2.32, 2 Ni 2.45
Ni: 0.0000 0.5000 0.7641 x2  4 Be 2.32, 4 Ni 2.45-2.58, 2 Li 2.49